*A*
Entry from the Alexandria database: Tb5Dy3Y2 after structural relaxation (PBE-GGA).

The calculated density is 7.35 g cm⁻³. Its total magnetization is 0.00 μB/cell. As for the density of states at the Fermi level: 40.47 states/eV per cell. Its space group is C2/c, No. 15.

Cell lengths 9.607, 9.578, 11.145 Å; angles 126.61, 126.67, 67.25 degrees
Atoms (fractional coordinates):
Y  0.219  0.989  0.255
Tb  0.473  0.723  0.446
Dy  0.772  0.022  0.044
Tb  0.395  0.145  0.752
Y  0.781  0.011  0.745
Tb  0.980  0.230  0.461
Tb  0.276  0.526  0.051
Tb  0.527  0.277  0.554
Tb  0.857  0.607  0.752
Dy  0.988  0.220  0.756
Tb  0.020  0.770  0.539
Y  0.465  0.734  0.745
Dy  0.732  0.464  0.244
Dy  0.268  0.536  0.756
Y  0.535  0.266  0.255
Dy  0.228  0.978  0.956
Tb  0.605  0.855  0.248
Tb  0.143  0.393  0.248
Dy  0.012  0.780  0.244
Tb  0.724  0.474  0.949

*B*
Entry from the Alexandria database: Tb5Dy3Y2 after structural relaxation (PBE-GGA).

The calculated density is 7.03 g cm⁻³. Its total magnetization is 0.00 μB/cell. As for the density of states at the Fermi level: 32.68 states/eV per cell. Its space group is Ibam, No. 72.

Cell lengths 10.910, 9.866, 9.866 Å; angles 56.50, 56.43, 56.43 degrees
Atoms (fractional coordinates):
Y  0.628  0.970  0.775
Tb  0.501  0.749  0.749
Y  0.372  0.030  0.225
Dy  0.750  0.000  0.000
Tb  0.625  0.286  0.465
Dy  0.376  0.370  0.877
Dy  0.124  0.123  0.630
Dy  0.876  0.877  0.370
Dy  0.624  0.630  0.123
Y  0.872  0.225  0.030
Tb  0.499  0.251  0.251
Y  0.128  0.775  0.970
Tb  0.125  0.465  0.286
Tb  0.001  0.749  0.749
Tb  0.999  0.251  0.251
Tb  0.875  0.535  0.714
Dy  0.250  0.000  0.000
Tb  0.250  0.500  0.500
Tb  0.375  0.714  0.535
Tb  0.750  0.500  0.500

Q: Which of them is the least stable? A: *B*.

*A*
Entry from the Alexandria database: TbDy2Y6 after structural relaxation (PBE-GGA).

The calculated density is 5.79 g cm⁻³. Its total magnetization is 0.00 μB/cell. As for the density of states at the Fermi level: 23.74 states/eV per cell. Its space group is C2/c, No. 15.

Cell lengths 6.555, 9.592, 9.592 Å; angles 96.01, 80.98, 80.98 degrees
Atoms (fractional coordinates):
Tb  0.250  0.120  0.880
Tb  0.750  0.880  0.120
Y  0.004  0.277  0.649
Y  0.726  0.062  0.459
Dy  0.631  0.662  0.616
Y  0.687  0.222  0.050
Dy  0.131  0.616  0.662
Y  0.813  0.950  0.778
Dy  0.869  0.384  0.338
Y  0.187  0.050  0.222
Y  0.996  0.723  0.351
Dy  0.369  0.338  0.384
Y  0.313  0.778  0.950
Y  0.226  0.459  0.062
Y  0.504  0.649  0.277
Y  0.774  0.541  0.938
Y  0.274  0.938  0.541
Y  0.496  0.351  0.723

*B*
Entry from the Alexandria database: TbDy2Y6 after structural relaxation (PBE-GGA).

The calculated density is 5.83 g cm⁻³. Its total magnetization is 0.00 μB/cell. As for the density of states at the Fermi level: 26.85 states/eV per cell. Its space group is C2/c, No. 15.

Cell lengths 11.011, 9.537, 9.537 Å; angles 75.75, 50.71, 50.71 degrees
Atoms (fractional coordinates):
Y  0.101  0.596  0.398
Y  0.899  0.404  0.602
Y  0.781  0.019  0.334
Y  0.281  0.334  0.019
Dy  0.020  0.759  0.915
Y  0.822  0.985  0.706
Tb  0.750  0.667  0.333
Y  0.601  0.398  0.596
Dy  0.480  0.085  0.241
Y  0.219  0.981  0.666
Dy  0.980  0.241  0.085
Dy  0.520  0.915  0.759
Y  0.178  0.015  0.294
Y  0.719  0.666  0.981
Y  0.322  0.706  0.985
Y  0.678  0.294  0.015
Tb  0.250  0.333  0.667
Y  0.399  0.602  0.404

Q: Which of them is the least stable? A: *A*.

*A*
Entry from the Alexandria database: Tb2DyY3 after structural relaxation (PBE-GGA).

The calculated density is 6.33 g cm⁻³. Its total magnetization is 0.00 μB/cell. As for the density of states at the Fermi level: 20.33 states/eV per cell. Its space group is C2/m, No. 12.

Cell lengths 3.507, 9.053, 12.923 Å; angles 78.23, 82.20, 78.83 degrees
Atoms (fractional coordinates):
Y  0.739  0.814  0.707
Y  0.962  0.862  0.214
Tb  0.657  0.154  0.531
Dy  0.562  0.518  0.357
Dy  0.438  0.482  0.643
Y  0.038  0.138  0.786
Y  0.261  0.186  0.293
Tb  0.181  0.520  0.117
Tb  0.343  0.846  0.469
Y  0.599  0.827  0.975
Tb  0.819  0.480  0.883
Y  0.401  0.173  0.025

*B*
Entry from the Alexandria database: Tb2DyY3 after structural relaxation (PBE-GGA).

The calculated density is 6.47 g cm⁻³. Its total magnetization is 0.00 μB/cell. As for the density of states at the Fermi level: 17.46 states/eV per cell. Its space group is C2/c, No. 15.

Cell lengths 6.162, 7.127, 9.433 Å; angles 112.20, 89.92, 90.00 degrees
Atoms (fractional coordinates):
Tb  0.083  0.792  0.333
Dy  0.750  0.125  0.000
Tb  0.417  0.458  0.667
Y  0.917  0.709  0.667
Tb  0.917  0.208  0.667
Tb  0.583  0.542  0.333
Y  0.583  0.042  0.333
Y  0.250  0.375  0.000
Dy  0.250  0.875  0.000
Y  0.750  0.625  0.000
Y  0.417  0.958  0.667
Y  0.083  0.291  0.333

Q: Which of them is the least stable? A: *A*.

*A*
Entry from the Alexandria database: TbDy5Y5 after structural relaxation (PBE-GGA).

The calculated density is 6.51 g cm⁻³. Its total magnetization is 0.00 μB/cell. As for the density of states at the Fermi level: 16.81 states/eV per cell. Its space group is P-1, No. 2.

Cell lengths 6.871, 8.508, 9.487 Å; angles 44.54, 88.80, 104.22 degrees
Atoms (fractional coordinates):
Dy  0.234  0.072  0.652
Y  0.000  0.500  0.500
Y  0.701  0.959  0.682
Dy  0.500  0.000  0.000
Dy  0.143  0.489  0.149
Tb  0.000  0.000  0.000
Y  0.299  0.041  0.318
Dy  0.766  0.928  0.348
Y  0.354  0.505  0.777
Dy  0.857  0.511  0.851
Y  0.646  0.495  0.223

*B*
Entry from the Alexandria database: TbDy5Y5 after structural relaxation (PBE-GGA).

The calculated density is 6.39 g cm⁻³. Its total magnetization is 0.00 μB/cell. As for the density of states at the Fermi level: 20.86 states/eV per cell. Its space group is P-6m2, No. 187.

Cell lengths 6.086, 6.086, 11.472 Å; angles 90.00, 90.00, 120.00 degrees
Atoms (fractional coordinates):
Dy  0.000  0.000  0.735
Y  0.333  0.667  0.320
Y  0.000  0.000  0.000
Dy  0.832  0.168  0.500
Y  0.667  0.333  0.159
Dy  0.832  0.663  0.500
Dy  0.000  0.000  0.265
Dy  0.337  0.168  0.500
Y  0.667  0.333  0.841
Y  0.333  0.667  0.680
Tb  0.333  0.667  0.000

Q: Which of them is the least stable? A: *B*.

*A*
Entry from the Alexandria database: TbDy12Y6 after structural relaxation (PBE-GGA).

The calculated density is 6.66 g cm⁻³. Its total magnetization is 0.00 μB/cell. As for the density of states at the Fermi level: 22.44 states/eV per cell. Its space group is R-3m, No. 166.

Cell lengths 8.812, 8.812, 8.812 Å; angles 98.55, 98.55, 98.55 degrees
Atoms (fractional coordinates):
Y  0.797  0.797  0.255
Dy  0.882  0.118  0.500
Dy  0.530  0.530  0.816
Dy  0.530  0.816  0.530
Dy  0.500  0.882  0.118
Y  0.203  0.203  0.745
Dy  0.118  0.500  0.882
Y  0.203  0.745  0.203
Dy  0.184  0.470  0.470
Y  0.745  0.203  0.203
Y  0.255  0.797  0.797
Dy  0.500  0.118  0.882
Tb  0.000  0.000  0.000
Dy  0.816  0.530  0.530
Dy  0.118  0.882  0.500
Dy  0.882  0.500  0.118
Dy  0.470  0.470  0.184
Dy  0.470  0.184  0.470
Y  0.797  0.255  0.797

*B*
Entry from the Alexandria database: TbDy12Y6 after structural relaxation (PBE-GGA).

The calculated density is 6.96 g cm⁻³. Its total magnetization is 0.00 μB/cell. As for the density of states at the Fermi level: 35.07 states/eV per cell. Its space group is R-3m, No. 166.

Cell lengths 8.683, 8.683, 8.683 Å; angles 98.51, 98.51, 98.51 degrees
Atoms (fractional coordinates):
Y  0.341  0.899  0.899
Dy  0.355  0.355  0.082
Dy  0.243  0.500  0.757
Tb  0.000  0.000  0.000
Dy  0.355  0.082  0.355
Dy  0.243  0.757  0.500
Dy  0.645  0.645  0.918
Dy  0.500  0.243  0.757
Y  0.101  0.101  0.659
Dy  0.645  0.918  0.645
Dy  0.757  0.500  0.243
Y  0.899  0.341  0.899
Y  0.101  0.659  0.101
Y  0.659  0.101  0.101
Y  0.899  0.899  0.341
Dy  0.918  0.645  0.645
Dy  0.500  0.757  0.243
Dy  0.757  0.243  0.500
Dy  0.082  0.355  0.355

Q: Which of them is the least stable? A: *A*.

*A*
Entry from the Alexandria database: Tb6Dy4Y after structural relaxation (PBE-GGA).

The calculated density is 7.98 g cm⁻³. Its total magnetization is 0.00 μB/cell. As for the density of states at the Fermi level: 41.02 states/eV per cell. Its space group is Cmcm, No. 63.

Cell lengths 5.740, 5.595, 25.566 Å; angles 90.00, 90.00, 120.86 degrees
Atoms (fractional coordinates):
Tb  0.132  0.263  0.318
Tb  0.802  0.604  0.396
Dy  0.152  0.305  0.457
Dy  0.152  0.305  0.043
Tb  0.802  0.604  0.104
Tb  0.463  0.927  0.250
Tb  0.132  0.263  0.182
Dy  0.539  0.078  0.878
Dy  0.848  0.695  0.957
Dy  0.539  0.078  0.622
Dy  0.848  0.695  0.543
Tb  0.500  0.000  0.500
Y  0.799  0.598  0.250
Tb  0.537  0.073  0.750
Tb  0.198  0.396  0.604
Tb  0.198  0.396  0.896
Dy  0.461  0.922  0.122
Tb  0.868  0.737  0.682
Dy  0.461  0.922  0.378
Tb  0.500  0.000  0.000
Y  0.201  0.402  0.750
Tb  0.868  0.737  0.818

*B*
Entry from the Alexandria database: Tb6Dy4Y after structural relaxation (PBE-GGA).

The calculated density is 7.46 g cm⁻³. Its total magnetization is 0.00 μB/cell. As for the density of states at the Fermi level: 13.52 states/eV per cell. Its space group is I-42m, No. 121.

Cell lengths 7.546, 7.546, 8.502 Å; angles 116.35, 116.35, 90.00 degrees
Atoms (fractional coordinates):
Tb  0.500  0.000  0.000
Tb  0.077  0.077  0.626
Y  0.500  0.500  0.000
Tb  0.550  0.550  0.626
Tb  0.000  0.500  0.000
Dy  0.912  0.912  0.156
Dy  0.244  0.244  0.156
Dy  0.088  0.756  0.844
Tb  0.923  0.450  0.374
Dy  0.756  0.088  0.844
Tb  0.450  0.923  0.374

Q: Which of them is the least stable? A: *B*.

*A*
Entry from the Alexandria database: Tb2Dy2Y3 after structural relaxation (PBE-GGA).

The calculated density is 6.63 g cm⁻³. Its total magnetization is 0.00 μB/cell. As for the density of states at the Fermi level: 11.57 states/eV per cell. Its space group is C2/m, No. 12.

Cell lengths 3.500, 8.566, 8.890 Å; angles 118.69, 101.35, 90.00 degrees
Atoms (fractional coordinates):
Y  0.212  0.801  0.424
Y  0.000  0.500  0.000
Tb  0.565  0.909  0.130
Dy  0.147  0.325  0.293
Tb  0.435  0.091  0.870
Dy  0.853  0.675  0.707
Y  0.788  0.199  0.576

*B*
Entry from the Alexandria database: Tb2Dy2Y3 after structural relaxation (PBE-GGA).

The calculated density is 6.69 g cm⁻³. Its total magnetization is 0.00 μB/cell. As for the density of states at the Fermi level: 13.30 states/eV per cell. Its space group is Immm, No. 71.

Cell lengths 3.541, 13.060, 5.488 Å; angles 77.88, 90.00, 113.98 degrees
Atoms (fractional coordinates):
Y  0.672  0.448  0.276
Tb  0.261  0.841  0.580
Tb  0.739  0.159  0.420
Y  0.000  0.000  0.000
Dy  0.574  0.716  0.142
Y  0.328  0.552  0.724
Dy  0.426  0.284  0.858

Q: Which of them is the least stable? A: *A*.

*A*
Entry from the Alexandria database: TbDy3Y5 after structural relaxation (PBE-GGA).

The calculated density is 6.28 g cm⁻³. Its total magnetization is 0.00 μB/cell. As for the density of states at the Fermi level: 26.77 states/eV per cell. Its space group is P6_3/mcm, No. 193.

Cell lengths 7.033, 9.732, 9.732 Å; angles 120.00, 90.00, 90.00 degrees
Atoms (fractional coordinates):
Y  0.000  0.667  0.333
Dy  0.250  0.357  0.357
Y  0.250  0.691  0.691
Y  0.750  0.000  0.691
Y  0.500  0.667  0.333
Y  0.750  0.691  0.000
Y  0.500  0.333  0.667
Dy  0.750  0.000  0.357
Dy  0.250  0.000  0.643
Y  0.000  0.333  0.667
Tb  0.500  0.000  0.000
Y  0.250  0.000  0.309
Dy  0.250  0.643  0.000
Dy  0.750  0.357  0.000
Dy  0.750  0.643  0.643
Y  0.750  0.309  0.309
Tb  0.000  0.000  0.000
Y  0.250  0.309  0.000

*B*
Entry from the Alexandria database: TbDy3Y5 after structural relaxation (PBE-GGA).

The calculated density is 6.03 g cm⁻³. Its total magnetization is 0.00 μB/cell. As for the density of states at the Fermi level: 29.05 states/eV per cell. Its space group is C2/c, No. 15.

Cell lengths 8.730, 8.730, 11.741 Å; angles 106.99, 106.99, 45.08 degrees
Atoms (fractional coordinates):
Y  0.476  0.091  0.234
Y  0.128  0.238  0.948
Tb  0.689  0.311  0.750
Y  0.091  0.476  0.734
Dy  0.000  0.000  0.000
Dy  0.446  0.339  0.988
Y  0.762  0.872  0.552
Dy  0.000  0.000  0.500
Y  0.872  0.762  0.052
Tb  0.311  0.689  0.250
Y  0.197  0.803  0.750
Y  0.524  0.909  0.766
Y  0.909  0.524  0.266
Dy  0.554  0.661  0.012
Y  0.238  0.128  0.448
Dy  0.339  0.446  0.488
Y  0.803  0.197  0.250
Dy  0.661  0.554  0.512

Q: Which of them is the least stable? A: *B*.

*A*
Entry from the Alexandria database: Tb3Dy2Y after structural relaxation (PBE-GGA).

The calculated density is 7.63 g cm⁻³. Its total magnetization is 0.00 μB/cell. As for the density of states at the Fermi level: 20.05 states/eV per cell. Its space group is C2/m, No. 12.

Cell lengths 3.640, 11.284, 11.151 Å; angles 120.39, 99.39, 90.00 degrees
Atoms (fractional coordinates):
Tb  0.611  0.486  0.223
Dy  0.056  0.181  0.111
Dy  0.722  0.347  0.444
Y  0.389  0.014  0.778
Dy  0.944  0.819  0.889
Tb  0.278  0.153  0.556
Tb  0.389  0.514  0.777
Tb  0.945  0.320  0.890
Y  0.611  0.986  0.222
Tb  0.722  0.847  0.444
Dy  0.278  0.653  0.556
Tb  0.055  0.680  0.110

*B*
Entry from the Alexandria database: Tb3Dy2Y after structural relaxation (PBE-GGA).

The calculated density is 7.73 g cm⁻³. Its total magnetization is 0.00 μB/cell. As for the density of states at the Fermi level: 15.30 states/eV per cell. Its space group is P-1, No. 2.

Cell lengths 7.182, 10.181, 7.175 Å; angles 79.84, 119.99, 121.94 degrees
Atoms (fractional coordinates):
Tb  0.196  0.335  0.140
Tb  0.750  0.000  0.250
Y  0.750  0.000  0.750
Tb  0.250  0.000  0.750
Dy  0.305  0.666  0.861
Tb  0.805  0.666  0.361
Dy  0.304  0.665  0.360
Tb  0.195  0.334  0.639
Dy  0.696  0.335  0.640
Tb  0.804  0.665  0.860
Y  0.250  0.000  0.250
Dy  0.695  0.334  0.139

Q: Which of them is the least stable? A: *A*.